No. 1
# CsCa2RuAu

A relaxed structure of CsCa2RuAu (PBE, the Alexandria database).

The formation energy from the elements is 0.213 eV per atom. As for the calculated volume: 32.48 A^3/atom. The crystal system is tetragonal. Its calculated total energy is -3.27 eV per atom.

Cell lengths 5.4701, 5.4701, 5.4267 Å; angles 90.00, 90.00, 90.00 degrees
Space group P4/mmm (No. 123)
Inequivalent atoms, fractional coordinates:
Cs: 0.0000 0.0000 0.0000 x1
Ca: 0.0000 0.5000 0.5000 x2
Ru: 0.5000 0.5000 0.5000 x1
Au: 0.5000 0.5000 0.0000 x1



No. 2
# CsCaSbAu2

A relaxed structure of CsCaSbAu2 (PBE, the Alexandria database).

As for the calculated volume: 36.92 A^3/atom. The uncorrected formation energy is -137 meV/atom. The crystal system is tetragonal. Its calculated total energy is -2.84 eV per atom.

Cell lengths 5.6663, 5.6663, 5.7489 Å; angles 90.00, 90.00, 90.00 degrees
Space group P4/mmm (No. 123)
Inequivalent atoms, fractional coordinates:
Cs: 0.0000 0.0000 0.0000 x1
Ca: 0.5000 0.5000 0.0000 x1
Sb: 0.5000 0.5000 0.5000 x1
Au: 0.0000 0.5000 0.5000 x2



No. 3
# CsCaTlAuSe

A relaxed structure of CsCaTlAuSe (PBE, the Alexandria database).

As for the calculated volume: 34.88 A^3/atom. The uncorrected formation energy is -810 meV/atom. The crystal system is monoclinic. Its calculated total energy is -3.21 eV per atom.

Cell lengths 7.6263, 4.3918, 10.7197 Å; angles 90.00, 103.69, 90.00 degrees
Space group Cm (No. 8)
Inequivalent atoms, fractional coordinates:
Cs: 0.0000 0.0000 0.0000 x2
Ca: 0.2115 0.0000 0.6326 x2
Tl: 0.2677 0.5000 0.3030 x2
Au: 0.4819 0.0000 0.4417 x2
Se: 0.0903 0.5000 0.7699 x2